(1)
First-principles (PBE) data for a geometry-optimized Li4Tm3ThSe8 structure, as listed in Alexandria.

a = 8.0789 Å, b = 8.0789 Å, c = 19.5506 Å
α = 90.00°, β = 90.00°, γ = 120.00°
Space group R-3m (No. 166, hexagonal axes)
Symmetry-distinct sites (fractional):
Li: 0.0000 0.0000 0.0000
Li: 0.0000 0.5000 0.0000
Tm: 0.0000 0.5000 0.5000
Th: 0.0000 0.0000 0.5000
Se: 0.0000 0.0000 0.2502
Se: 0.0076 0.5038 0.7475

Values from the calculation:
* E_tot: -5.151 eV per atom
* E_form (uncorrected): -1628 meV/atom
* magnetic moment: 0.00 Bohr magnetons per cell

***

(2)
First-principles (PBE) data for a geometry-optimized Dy2AlHg4 structure, as listed in Alexandria.

a = 9.085 Å, b = 5.166 Å, c = 7.760 Å
α = 90.00°, β = 111.26°, γ = 90.00°
Space group C2/m (No. 12)
Symmetry-distinct sites (fractional):
Dy: 0.218 0.000 0.166
Al: 0.000 0.500 0.000
Hg: 0.081 0.000 0.731
Hg: 0.130 0.500 0.400

Values from the calculation:
* E_tot: -2.288 eV per atom
* magnetic moment: 0.00 Bohr magnetons per cell

***

(3)
First-principles (PBE) data for a geometry-optimized Mg2Ag2I structure, as listed in Alexandria.

a = 8.187 Å, b = 8.187 Å, c = 3.552 Å
α = 90.00°, β = 90.00°, γ = 90.00°
Space group P4/mbm (No. 127)
Symmetry-distinct sites (fractional):
Mg: 0.172 0.328 0.000
Ag: 0.121 0.621 0.500
I: 0.000 0.000 0.000

Values from the calculation:
* E_tot: -2.106 eV per atom
* E_form (uncorrected): -18 meV/atom
* magnetic moment: 0.00 Bohr magnetons per cell
* energy relative to the lowest polymorph listed for this composition: 84 meV/atom